Entry 1:
! Ba2Tl3Bi2 | Alexandria via LeMat-Bulk | PBE | optimized geometry; values from VASP
&SYSTEM
  ibrav = 0, nat = 7, ntyp = 3
/
ATOMIC_SPECIES
Ba 137.33 Ba.upf
Tl 204.38 Tl.upf
Bi 208.98 Bi.upf
ATOMIC_POSITIONS angstrom
Ba 0.8928 0.0000 2.2438
Ba 9.1769 0.0000 5.7977
Tl 4.7155 0.0000 0.5802
Tl 5.0348 0.0000 4.0207
Tl 5.3541 0.0000 7.4613
Bi 0.2566 0.0000 5.8566
Bi 9.8131 0.0000 2.1849
CELL_PARAMETERS angstrom
6.3389 -2.5665 0.0000
6.3389 2.5665 0.0000
-2.6081 0.0000 8.0415
! - crystal system = monoclinic
! - symmetry = No. 12
! - energy above the lowest structure with this stoichiometry (eV/atom) = 0.0070
! - formation energy from the elements (eV/atom) = -0.467



Entry 2:
! La12ZnCo5 | Alexandria via LeMat-Bulk | PBE | optimized geometry; values from VASP
&SYSTEM
  ibrav = 0, nat = 18, ntyp = 3
/
ATOMIC_SPECIES
La 138.91 La.upf
Zn 65.41 Zn.upf
Co 58.93 Co.upf
ATOMIC_POSITIONS angstrom
La 4.8313 3.1653 -3.1245
La 2.9846 1.7630 0.0000
La 6.6780 1.7630 0.0000
La 1.8252 5.0481 -1.7460
La 3.0061 0.0000 3.3973
La 0.0000 1.8827 2.0188
La 4.8313 3.1653 3.1245
La 1.8252 5.0481 1.7460
La 3.0061 0.0000 6.8893
La -1.8467 3.2850 5.1433
La 1.8467 3.2850 5.1433
La 0.0000 1.8827 8.2678
Zn 0.0000 0.0000 5.1433
Co 0.0000 0.0000 0.0000
Co 4.8313 0.0000 1.3705
Co 0.0000 3.5738 0.0000
Co 0.0000 6.5224 0.0000
Co 0.0000 5.0481 3.7728
CELL_PARAMETERS angstrom
-4.8313 5.0481 5.1433
4.8313 -5.0481 5.1433
4.8313 5.0481 -5.1433
! - crystal system = orthorhombic
! - symmetry = No. 71
! - formation energy from the elements (eV/atom) = -0.129



Entry 3:
! Ca2SmCu9 | Alexandria via LeMat-Bulk | PBE | optimized geometry; values from VASP
&SYSTEM
  ibrav = 0, nat = 12, ntyp = 3
/
ATOMIC_SPECIES
Ca 40.08 Ca.upf
Sm 150.36 Sm.upf
Cu 63.55 Cu.upf
ATOMIC_POSITIONS angstrom
Ca 0.0000 0.0000 3.5884
Ca 0.0000 0.0000 21.6100
Sm 0.0000 0.0000 0.0000
Cu -1.2860 -0.7425 10.4346
Cu 0.0000 0.0000 8.3626
Cu 0.0000 -1.4850 14.7639
Cu -1.2860 0.7425 14.7639
Cu 0.0000 0.0000 12.5992
Cu 1.2860 -0.7425 10.4346
Cu 0.0000 1.4850 10.4346
Cu 0.0000 0.0000 16.8359
Cu 1.2860 0.7425 14.7639
CELL_PARAMETERS angstrom
2.6001 1.5012 8.3995
-2.6001 1.5012 8.3995
0.0000 -3.0023 8.3995
! - crystal system = trigonal
! - symmetry = No. 166
! - formation energy from the elements (eV/atom) = -0.140



Entry 4:
! Li7MgAg2 | Alexandria via LeMat-Bulk | PBE | optimized geometry; values from VASP
&SYSTEM
  ibrav = 0, nat = 10, ntyp = 3
/
ATOMIC_SPECIES
Li 6.94 Li.upf
Mg 24.30 Mg.upf
Ag 107.87 Ag.upf
ATOMIC_POSITIONS angstrom
Li 0.0000 0.0000 0.0000
Li 2.4716 1.6688 0.0000
Li 3.8782 3.1334 2.3132
Li 2.4716 -1.6688 0.0000
Li 5.2849 1.6688 0.0000
Li 3.8782 -3.1334 2.3132
Li 5.2849 -1.6688 0.0000
Mg 3.8782 0.0000 2.3132
Ag 3.8782 4.0728 0.0000
Ag 3.8782 -4.0728 0.0000
CELL_PARAMETERS angstrom
3.8782 -6.6921 0.0000
3.8782 6.6921 0.0000
0.0000 0.0000 4.6265
! - crystal system = orthorhombic
! - symmetry = No. 65
! - energy above the lowest structure with this stoichiometry (eV/atom) = 0.1529
! - formation energy from the elements (eV/atom) = 0.106



Entry 5:
! RuPtSe2N | Alexandria via LeMat-Bulk | PBE | optimized geometry; values from VASP
&SYSTEM
  ibrav = 0, nat = 5, ntyp = 4
/
ATOMIC_SPECIES
Ru 101.07 Ru.upf
Pt 195.08 Pt.upf
Se 78.96 Se.upf
N 14.01 N.upf
ATOMIC_POSITIONS angstrom
Ru 0.0000 0.0000 0.0000
Pt 2.5875 2.5875 1.8096
Se 0.0000 2.5875 1.8096
Se 2.5875 0.0000 1.8096
N 2.5875 2.5875 0.0000
CELL_PARAMETERS angstrom
5.1751 0.0000 0.0000
0.0000 5.1751 0.0000
0.0000 0.0000 3.6192
! - crystal system = tetragonal
! - symmetry = No. 123
! - energy above the lowest structure with this stoichiometry (eV/atom) = 0.4436



Entry 6:
! Rb2TlBr5 | Alexandria via LeMat-Bulk | PBE | optimized geometry; values from VASP
&SYSTEM
  ibrav = 0, nat = 16, ntyp = 3
/
ATOMIC_SPECIES
Rb 85.47 Rb.upf
Tl 204.38 Tl.upf
Br 79.90 Br.upf
ATOMIC_POSITIONS angstrom
Rb 0.0000 0.0000 0.0000
Rb -3.3554 0.0000 4.5182
Rb 3.3828 3.3838 0.0000
Rb 0.0274 -3.3838 4.5182
Tl 1.7325 1.6975 6.7773
Tl 5.0878 -1.6975 2.2591
Br 5.0878 5.0678 2.2591
Br 0.2598 3.1868 8.3841
Br 3.2051 3.1868 5.1706
Br 0.2272 0.2014 5.2070
Br 3.5826 -0.2014 0.6888
Br 3.2377 0.2014 8.3477
Br 6.5931 -0.2014 3.8294
Br 3.6152 -3.1868 3.8659
Br 6.5605 -3.1868 0.6523
Br 1.7325 -5.0678 6.7773
CELL_PARAMETERS angstrom
6.7655 -6.7676 0.0000
6.7655 6.7676 0.0000
-6.7107 0.0000 9.0365
! - crystal system = monoclinic
! - symmetry = No. 15
! - energy above the lowest structure with this stoichiometry (eV/atom) = 0.0108



| no. | density of states at the Fermi level (states/eV per atom) | magnetization (μB/f.u.) | volume (Å³/cell) |
| --- | --- | --- | --- |
| 1 | 0.515 | 0.0 | 262 |
| 2 | 1.161 | 0.0 | 502 |
| 3 | 0.707 | 0.0 | 197 |
| 4 | 0.365 | 0.0 | 240 |
| 5 | 1.298 | 2.1 | 97 |
| 6 | 0.000 | 0.0 | 827 |